Entry 1:
Compound: ThScSi
Source: OQMD via LeMat-Bulk
Functional: PBE
Structure: optimized geometry

a = 6.7576 Å, b = 6.7576 Å, c = 6.7576 Å
α = 90.00°, β = 90.00°, γ = 90.00°
Last column: nearest neighbours and their distance in Å.
Fractional coordinates of all 12 atoms:
Th1 0.0000 0.0000 0.0000  4 Si 2.93
Th2 0.0000 0.5000 0.5000  4 Si 2.93
Th3 0.5000 0.0000 0.5000  4 Si 2.93
Th4 0.5000 0.5000 0.0000  4 Si 2.93
Sc1 0.0000 0.0000 0.5000  4 Si 2.93
Sc2 0.0000 0.5000 0.0000  4 Si 2.93
Sc3 0.5000 0.0000 0.0000  4 Si 2.93
Sc4 0.5000 0.5000 0.5000  4 Si 2.93
Si1 0.2500 0.2500 0.7500  4 Th 2.93, 4 Sc 2.93
Si2 0.2500 0.7500 0.2500  4 Th 2.93, 4 Sc 2.93
Si3 0.7500 0.2500 0.2500  4 Th 2.93, 4 Sc 2.93
Si4 0.7500 0.7500 0.7500  4 Th 2.93, 4 Sc 2.93

## Properties
**E above lowest polymorph**: 0 meV/atom
**Final energy**: -20.18 eV per formula unit
**Symmetry**: F-43m (216)

Entry 2:
Compound: Tb2NdN3
Source: OQMD via LeMat-Bulk
Functional: PBE
Structure: optimized geometry

a = 3.5285 Å, b = 3.5285 Å, c = 8.6426 Å
α = 90.00°, β = 90.00°, γ = 120.00°
Last column: nearest neighbours and their distance in Å.
Fractional coordinates of all 6 atoms:
Tb1 0.3333 0.6667 0.3372  6 N 2.47-2.48
Tb2 0.6667 0.3333 0.6628  6 N 2.47-2.48
Nd1 0.0000 0.0000 0.0000  6 N 2.54
N1 0.0000 0.0000 0.5000  6 Tb 2.48
N2 0.3333 0.6667 0.8246  3 Tb 2.47, 3 Nd 2.54
N3 0.6667 0.3333 0.1754  3 Tb 2.47, 3 Nd 2.54

## Properties
**Final energy**: -48.28 eV per formula unit
**Symmetry**: P-3m1 (164)

Computed calculated density (g/cm3) in order:
6.57; 8.98